The following is a PBE calculation of crystalline ZrTaCl2O at its relaxed geometry, from Alexandria.

- Size of the total moment: 1.96 μB per formula unit
- Density of states at the Fermi level: 0.74 states/eV/atom
- Formation energy without anion corrections: 0.057 eV per atom

Cell lengths 5.292, 5.292, 3.817 Å; angles 90.00, 90.00, 90.00 degrees
Space group P4/mmm (No. 123)
Inequivalent atoms, fractional coordinates:
1 Zr 0.000 0.000 0.000 x1
2 Ta 0.500 0.500 0.000 x1
3 Cl 0.000 0.500 0.500 x2
4 O 0.000 0.000 0.500 x1


The following is a PBE calculation of crystalline Ti6As2P at its relaxed geometry, from Alexandria.

- ΔE_f: -3.36 eV per formula unit
- Size of the total moment: 0.00 μB per formula unit
- Density of states at the Fermi level: 0.92 states/eV/atom

Cell lengths 5.687, 5.687, 10.840 Å; angles 90.00, 90.00, 90.00 degrees
Space group P4_2/mnm (No. 136)
Inequivalent atoms, fractional coordinates:
1 Ti 0.198 0.198 0.159 x8
2 Ti 0.210 0.210 0.500 x4
3 As 0.000 0.000 0.333 x4
4 P 0.000 0.000 0.000 x2


The following is a PBE calculation of crystalline ZrTePb3 at its relaxed geometry, from Alexandria.

- Energy above the most stable polymorph in this dataset: 12.57 kcal/mol of atoms
- Size of the total moment: 2.15 μB per formula unit
- Density of states at the Fermi level: 0.71 states/eV/atom
- Formation energy without anion corrections: 0.964 eV per atom

Cell lengths 5.876, 5.876, 5.876 Å; angles 90.00, 90.00, 90.00 degrees
Space group Pm-3m (No. 221)
Inequivalent atoms, fractional coordinates:
1 Zr 0.000 0.000 0.000 x1
2 Te 0.500 0.500 0.500 x1
3 Pb 0.000 0.500 0.500 x3


The following is a PBE calculation of crystalline CsZrV2 at its relaxed geometry, from Alexandria.

- ΔE_f: 7.11 eV per formula unit
- Size of the total moment: 0.00 μB per formula unit
- Density of states at the Fermi level: 1.57 states/eV/atom

Cell lengths 4.651, 4.651, 19.356 Å; angles 90.00, 90.00, 90.00 degrees
Space group I-42d (No. 122)
Inequivalent atoms, fractional coordinates:
1 Cs 0.000 0.000 0.000 x4
2 Zr 0.000 0.000 0.500 x4
3 V 0.094 0.250 0.625 x8


The following is a PBE calculation of crystalline BaBe3Tl at its relaxed geometry, from Alexandria.

- Energy above the most stable polymorph in this dataset: 0.00 kcal/mol of atoms
- ΔE_f: 4.19 eV per formula unit
- Size of the total moment: 0.00 μB per formula unit
- Density of states at the Fermi level: 0.66 states/eV/atom

Cell lengths 4.804, 4.804, 4.804 Å; angles 90.00, 90.00, 90.00 degrees
Space group Pm-3m (No. 221)
Inequivalent atoms, fractional coordinates:
1 Ba 0.000 0.000 0.000 x1
2 Be 0.000 0.500 0.500 x3
3 Tl 0.500 0.500 0.500 x1


The following is a PBE calculation of crystalline CsBaBe3 at its relaxed geometry, from Alexandria.

- Energy above the most stable polymorph in this dataset: 0.00 kcal/mol of atoms
- ΔE_f: 8.02 eV per formula unit
- Size of the total moment: 0.00 μB per formula unit
- Density of states at the Fermi level: 1.38 states/eV/atom

Cell lengths 6.115, 6.115, 6.115 Å; angles 90.00, 90.00, 90.00 degrees
Space group Pm-3m (No. 221)
Inequivalent atoms, fractional coordinates:
1 Cs 0.000 0.000 0.000 x1
2 Ba 0.500 0.500 0.500 x1
3 Be 0.000 0.500 0.500 x3


Q: density of states at the Fermi level of number 4 (CsZrV2)?
A: 1.57 states/eV/atom